(1)
Li2YSc: PBEsol geometry, SCAN.

Unit cell a=5.8707 b=5.8707 c=5.8707 alpha=137.14 beta=137.14 gamma=62.23
Last column: nearest neighbours and their distance in Å.
Fractional coordinates of all 4 atoms:
Li 0.0000 0.0000 0.0000  4 Sc 3.03, 4 Li 3.30, 4 Y 3.30
Li 0.7500 0.2500 0.5000  4 Y 3.03, 4 Li 3.30, 4 Sc 3.30
Y 0.2500 0.7500 0.5000  8 Li 3.03-3.30, 4 Sc 3.30
Sc 0.5000 0.5000 0.0000  8 Li 3.03-3.30, 4 Y 3.30

Properties
symmetry	I-4m2, No. 119
E_form	0.284	eV per atom
offset from the most stable computed form	0.194	eV/atom
total magnetization	0.05	μB/f.u.
total energy	-11.431	eV/atom

=====

(2)
KMn2Ag: PBEsol geometry, SCAN.

Unit cell a=2.9695 b=5.0833 c=5.1870 alpha=90.00 beta=90.00 gamma=90.00
Last column: nearest neighbours and their distance in Å.
Fractional coordinates of all 4 atoms:
K 0.0000 0.0000 0.0000  4 Ag 2.94, 2 K 2.97, 4 Mn 2.99
Mn 0.0000 0.5000 0.5000  6 Mn 2.94-2.97, 4 Ag 2.99
Mn 0.5000 0.0000 0.5000  6 Mn 2.94-2.97, 4 K 2.99
Ag 0.5000 0.5000 0.0000  4 K 2.94, 2 Ag 2.97, 4 Mn 2.99

Properties
symmetry	Pmmm, No. 47
E_form	0.601	eV per atom
offset from the most stable computed form	0.186	eV/atom
total magnetization	8.48	μB/f.u.
total energy	-18.451	eV/atom

=====

(3)
LaAsO2: PBEsol geometry, SCAN.

Unit cell a=7.4510 b=7.4510 c=7.4510 alpha=144.45 beta=144.45 gamma=51.16
Last column: nearest neighbours and their distance in Å.
Fractional coordinates of all 8 atoms:
La 0.0000 0.0000 0.0000  4 O 2.36
La 0.7500 0.2500 0.5000  4 O 2.36
As 0.2500 0.7500 0.5000  4 O 2.29
As 0.5000 0.5000 0.0000  4 O 2.29
O 0.1416 0.6250 0.0166  2 As 2.29, 2 La 2.36
O 0.3750 0.3916 0.5166  2 As 2.29, 2 La 2.36
O 0.6084 0.1250 0.9834  2 As 2.29, 2 La 2.36
O 0.8750 0.8584 0.4834  2 As 2.29, 2 La 2.36

Properties
symmetry	I-42d, No. 122
E_form (uncorrected)	-1.669	eV/atom
total magnetization	0.00	μB/f.u.
total energy	-20.609	eV/atom